--- A ---
{"formula": "AcSm6Y2", "functional": "PBE-GGA", "state": "optimized geometry", "vol_a3_per_atom": 35.2, "lattice": [[3.672, 0.000, 0.000], [-1.836, 3.180, 0.000], [0.000, 0.000, 27.093]], "species": ["Ac", "Sm", "Sm", "Sm", "Sm", "Sm", "Sm", "Y", "Y"], "frac_coords": [[0.000, 0.000, 0.000], [0.000, 0.000, 0.224], [0.000, 0.000, 0.435], [0.000, 0.000, 0.565], [0.000, 0.000, 0.776], [0.333, 0.667, 0.117], [0.333, 0.667, 0.883], [0.333, 0.667, 0.332], [0.333, 0.667, 0.668]]}

***

--- B ---
{"formula": "AcSm6Y2", "functional": "PBE-GGA", "state": "optimized geometry", "vol_a3_per_atom": 34.3, "lattice": [[-2.895, 4.996, 10.687], [2.895, -4.996, 10.687], [2.895, 4.996, -10.687]], "species": ["Ac", "Ac", "Sm", "Sm", "Sm", "Sm", "Sm", "Sm", "Sm", "Sm", "Sm", "Sm", "Sm", "Sm", "Y", "Y", "Y", "Y"], "frac_coords": [[0.250, 0.250, 0.000], [0.750, 0.750, 0.000], [0.004, 0.338, 0.668], [0.081, 0.081, 0.000], [0.170, 0.838, 0.334], [0.330, 0.664, 0.668], [0.419, 0.419, 0.000], [0.496, 0.164, 0.334], [0.504, 0.836, 0.666], [0.581, 0.581, 0.000], [0.670, 0.336, 0.332], [0.830, 0.162, 0.666], [0.919, 0.919, 0.000], [0.996, 0.662, 0.332], [0.167, 0.499, 0.666], [0.333, 0.999, 0.332], [0.667, 0.001, 0.668], [0.833, 0.501, 0.334]]}

***

Which is most stable? The ranking, best first, is B, A.